(1)
This record from Alexandria describes a geometry-optimized HoErZnIn structure. The functional is PBE.

Unit cell a=3.6153 b=3.6153 c=7.3885 alpha=90.00 beta=90.00 gamma=90.00
With the nearest neighbours (Å) after each atom.
Space group P4mm (No. 99)
Inequivalent atoms, fractional coordinates:
Ho  0.0000  0.0000  0.0000 (multiplicity 1)  4 Zn 3.08, 4 In 3.25, 1 Er 3.40
Er  0.0000  0.0000  0.5393 (multiplicity 1)  4 Zn 3.06, 4 In 3.24, 1 Ho 3.40
Zn  0.5000  0.5000  0.7674 (multiplicity 1)  4 Er 3.06, 4 Ho 3.08
In  0.5000  0.5000  0.2709 (multiplicity 1)  4 Er 3.24, 4 Ho 3.25, 4 In 3.62

Summary:
* calculated total energy: -3.700 eV/atom
* energy of formation: -0.412 eV/atom
* theoretical density: 8811 kg/m³
* volume: 96.6 Å³/cell

=====

(2)
This record from Alexandria describes a geometry-optimized ZnCrSn structure. The functional is PBE.

Unit cell a=6.1788 b=8.9975 c=3.9503 alpha=90.00 beta=106.69 gamma=90.00
With the nearest neighbours (Å) after each atom.
Space group C2 (No. 5)
Inequivalent atoms, fractional coordinates:
Zn  0.1583  0.0000  0.2856 (multiplicity 4)  1 Zn 2.53, 2 Cr 2.60-2.63, 2 Sn 2.69-2.77
Cr  0.1276  0.7868  0.7247 (multiplicity 4)  1 Cr 2.01
Sn  0.0000  0.2614  0.5000 (multiplicity 2)  2 Cr 2.70, 4 Zn 2.77-2.96
Sn  0.0000  0.5380  0.0000 (multiplicity 2)  2 Zn 2.69, 2 Cr 2.70

Summary:
* calculated total energy: -4.676 eV/atom
* energy of formation: 0.290 eV/atom
* theoretical density: 7455 kg/m³
* volume: 210.4 Å³/cell